(1)
Compound: ScBAsSe2
Source: the Alexandria database
Functional: PBE
Structure: relaxed

Cell: 5.1209 5.1209 5.1497 Å, 90.00 90.00 90.00°
Element x y z (fractional)
Sc 0.0000 0.0000 0.0000
As 0.0000 0.0000 0.5000
B 0.5000 0.5000 0.5000
Se 0.0000 0.5000 0.0000
Se 0.5000 0.0000 0.0000

Properties
Mass density   3.55 g cm⁻³
DOS(E_F)   5.0 states/eV/f.u.
Formation energy from raw total energies   756 meV/atom
Calculated volume   135 Å³ per cell
Offset from the most stable computed form   0.6515 eV/atom

(2)
Compound: ScSiB2As
Source: the Alexandria database
Functional: PBE
Structure: relaxed

Cell: 4.0619 5.2210 4.0619 Å, 90.00 90.00 90.00°
Element x y z (fractional)
Sc 0.0000 0.5000 0.0000
As 0.0000 0.0000 0.0000
B 0.0000 0.0000 0.5000
B 0.5000 0.0000 0.0000
Si 0.5000 0.5000 0.5000

Properties
Mass density   3.27 g cm⁻³
DOS(E_F)   2.4 states/eV/f.u.
Formation energy from raw total energies   1108 meV/atom
Calculated volume   86 Å³ per cell

(3)
Compound: ScTiBAs2
Source: the Alexandria database
Functional: PBE
Structure: relaxed

Cell: 4.9737 4.7661 4.9737 Å, 90.00 90.00 90.00°
Element x y z (fractional)
Sc 0.0000 0.0000 0.0000
As 0.0000 0.0000 0.5000
As 0.5000 0.0000 0.0000
B 0.5000 0.5000 0.5000
Ti 0.0000 0.5000 0.0000

Properties
Mass density   3.57 g cm⁻³
DOS(E_F)   6.3 states/eV/f.u.
Calculated volume   118 Å³ per cell
DFT formation energy   1441 meV/atom

(4)
Compound: BAsSe2
Source: the Alexandria database
Functional: PBE
Structure: relaxed

Cell: 8.1375 8.1375 8.1375 Å, 23.27 23.27 23.27°
Element x y z (fractional)
As 0.0000 0.0000 0.0000
B 0.5000 0.5000 0.5000
Se 0.8871 0.8871 0.8871
Se 0.1129 0.1129 0.1129

Properties
Mass density   5.48 g cm⁻³
DOS(E_F)   1.5 states/eV/f.u.
Formation energy from raw total energies   507 meV/atom
Calculated volume   74 Å³ per cell
Offset from the most stable computed form   0.0995 eV/atom

(5)
Compound: BAsSe2
Source: the Alexandria database
Functional: PBE
Structure: relaxed

Cell: 6.0782 6.0782 6.0692 Å, 59.95 59.95 90.00°
Element x y z (fractional)
As 0.0000 0.0000 0.0000
As 0.7500 0.2500 0.5000
B 0.5000 0.5000 0.0000
B 0.2500 0.7500 0.5000
Se 0.5425 0.1250 0.2500
Se 0.2075 0.6250 0.2500
Se 0.3750 0.4575 0.7500
Se 0.8750 0.7925 0.7500

Properties
Mass density   5.11 g cm⁻³
DOS(E_F)   0.8 states/eV/f.u.
Formation energy from raw total energies   408 meV/atom
Calculated volume   158 Å³ per cell
Offset from the most stable computed form   0.0000 eV/atom

(6)
Compound: BAs2Se
Source: the Alexandria database
Functional: PBE
Structure: relaxed

Cell: 4.5736 4.5736 4.5736 Å, 60.00 60.00 60.00°
Element x y z (fractional)
As 0.2500 0.2500 0.2500
As 0.7500 0.7500 0.7500
B 0.0000 0.0000 0.0000
Se 0.5000 0.5000 0.5000

Properties
Mass density   5.88 g cm⁻³
DOS(E_F)   3.7 states/eV/f.u.
Formation energy from raw total energies   1179 meV/atom
Calculated volume   68 Å³ per cell
Offset from the most stable computed form   0.8200 eV/atom

(7)
Compound: BAs2Se
Source: the Alexandria database
Functional: PBE
Structure: relaxed

Cell: 5.9782 5.9782 5.9879 Å, 60.05 60.05 90.00°
Element x y z (fractional)
As 0.5443 0.1250 0.2500
As 0.2057 0.6250 0.2500
As 0.3750 0.4557 0.7500
As 0.8750 0.7943 0.7500
B 0.5000 0.5000 0.0000
B 0.2500 0.7500 0.5000
Se 0.0000 0.0000 0.0000
Se 0.7500 0.2500 0.5000

Properties
Mass density   5.25 g cm⁻³
DOS(E_F)   2.7 states/eV/f.u.
Formation energy from raw total energies   359 meV/atom
Calculated volume   152 Å³ per cell
Offset from the most stable computed form   0.0000 eV/atom

(8)
Compound: BAsSe2
Source: the Alexandria database
Functional: PBE
Structure: relaxed

Cell: 7.7387 7.7387 7.7387 Å, 28.80 28.80 28.80°
Element x y z (fractional)
As 0.5000 0.5000 0.5000
B 0.0000 0.0000 0.0000
Se 0.9163 0.9163 0.9163
Se 0.0837 0.0837 0.0837

Properties
Mass density   4.26 g cm⁻³
DOS(E_F)   3.2 states/eV/f.u.
Formation energy from raw total energies   632 meV/atom
Calculated volume   95 Å³ per cell
Offset from the most stable computed form   0.2248 eV/atom

(9)
Compound: BAsSe2
Source: the Alexandria database
Functional: PBE
Structure: relaxed

Cell: 4.6460 4.6460 4.6460 Å, 60.00 60.00 60.00°
Element x y z (fractional)
As 0.5000 0.5000 0.5000
B 0.0000 0.0000 0.0000
Se 0.2500 0.2500 0.2500
Se 0.7500 0.7500 0.7500

Properties
Mass density   5.71 g cm⁻³
DOS(E_F)   3.0 states/eV/f.u.
Formation energy from raw total energies   1148 meV/atom
Calculated volume   71 Å³ per cell
Offset from the most stable computed form   0.7400 eV/atom

(10)
Compound: SiBAsSe2
Source: the Alexandria database
Functional: PBE
Structure: relaxed

Cell: 4.8341 4.8341 4.7490 Å, 90.00 90.00 90.00°
Element x y z (fractional)
As 0.0000 0.0000 0.5000
B 0.5000 0.5000 0.5000
Si 0.0000 0.0000 0.0000
Se 0.0000 0.5000 0.0000
Se 0.5000 0.0000 0.0000

Properties
Mass density   4.07 g cm⁻³
DOS(E_F)   4.1 states/eV/f.u.
Formation energy from raw total energies   1271 meV/atom
Calculated volume   111 Å³ per cell
Offset from the most stable computed form   0.4569 eV/atom

(11)
Compound: SiBAs2Se
Source: the Alexandria database
Functional: PBE
Structure: relaxed

Cell: 4.7473 4.7473 4.8255 Å, 90.00 90.00 90.00°
Element x y z (fractional)
As 0.0000 0.5000 0.0000
As 0.5000 0.0000 0.0000
B 0.5000 0.5000 0.5000
Si 0.0000 0.0000 0.0000
Se 0.0000 0.0000 0.5000

Properties
Mass density   4.09 g cm⁻³
DOS(E_F)   3.6 states/eV/f.u.
Formation energy from raw total energies   1376 meV/atom
Calculated volume   109 Å³ per cell
Offset from the most stable computed form   0.5175 eV/atom

(12)
Compound: SiBAsSe2
Source: the Alexandria database
Functional: PBE
Structure: relaxed

Cell: 4.4396 4.4396 4.4536 Å, 90.00 90.00 90.00°
Element x y z (fractional)
As 0.0000 0.0000 0.5000
B 0.0000 0.0000 0.0000
Si 0.5000 0.5000 0.5000
Se 0.0000 0.5000 0.0000
Se 0.5000 0.0000 0.0000

Properties
Mass density   5.14 g cm⁻³
DOS(E_F)   3.2 states/eV/f.u.
Formation energy from raw total energies   814 meV/atom
Calculated volume   88 Å³ per cell
Offset from the most stable computed form   0.0000 eV/atom